(1)
Density functional theory data (PBE) for crystalline La2DyPu at its relaxed geometry.

Lattice parameters (Å, degrees): 11.786 11.786 11.786 17.70 17.70 17.70
Fractional positions:
La  0.000  0.000  0.000
La  0.170  0.170  0.170
Dy  0.752  0.752  0.752
Pu  0.584  0.584  0.584

Summary:
- relative energy among the computed polymorphs (meV per atom) = 13.4
- space-group type = R3m (160)
- theoretical density (g/cm3) = 8.60
- DOS at the Fermi energy (states/eV/cell) = 11.83
- energy of formation from the pure elements (eV per atom) = 0.12

---

(2)
Density functional theory data (PBE) for crystalline ErHf2Tc at its relaxed geometry.

Lattice parameters (Å, degrees): 3.309 3.309 8.009 90.00 90.00 90.00
Fractional positions:
Er  0.000  0.000  0.000
Hf  0.500  0.500  0.308
Hf  0.500  0.500  0.692
Tc  0.000  0.000  0.500

Summary:
- relative energy among the computed polymorphs (meV per atom) = 0.0
- space-group type = P4/mmm (123)
- theoretical density (g/cm3) = 11.78
- DOS at the Fermi energy (states/eV/cell) = 5.08
- energy of formation from the pure elements (eV per atom) = -0.16

---

(3)
Density functional theory data (PBE) for crystalline KGaHg2F8 at its relaxed geometry.

Lattice parameters (Å, degrees): 5.035 5.296 7.402 84.38 87.45 89.59
Fractional positions:
K  0.000  0.000  0.000
Ga  0.000  0.000  0.500
Hg  0.461  0.465  0.255
Hg  0.539  0.535  0.745
F  0.134  0.777  0.696
F  0.169  0.816  0.321
F  0.309  0.237  0.499
F  0.417  0.270  0.972
F  0.583  0.730  0.028
F  0.691  0.763  0.501
F  0.831  0.184  0.679
F  0.866  0.223  0.304

Summary:
- space-group type = P-1 (2)
- energy relative to the elements, uncorrected (meV per atom) = -2058
- theoretical density (g/cm3) = 5.60
- DOS at the Fermi energy (states/eV/cell) = 0.00